(1)
PBE-GGA GdTlRhAu, relaxed; DFT total energy = -7.183 eV/atom; space group = No. 216; formation energy from the elements = -1.658 eV/f.u.
1.0
4.9111 0.0000 0.0000
2.4555 4.2531 0.0000
2.4555 1.4177 4.0099
Rh Au Gd Tl
1 1 1 1
Cartesian
4.9111 2.8354 2.0049 Rh
0.0000 0.0000 0.0000 Au
2.4555 1.4177 1.0025 Gd
7.3666 4.2531 3.0074 Tl

=====

(2)
PBE-GGA Mn2SiPb, relaxed; DFT total energy = -6.302 eV/atom; space group = No. 225; formation energy (no corrections) = 54.54 kJ per mole of atoms; offset from the most stable computed form = 356 meV per atom
1.0
0.0000 3.0705 3.0705
3.0705 0.0000 3.0705
3.0705 3.0705 0.0000
Mn Pb Si
2 1 1
Cartesian
4.6057 4.6057 4.6057 Mn
1.5352 1.5352 1.5352 Mn
3.0705 3.0705 3.0705 Pb
0.0000 0.0000 0.0000 Si

=====

(3)
PBE-GGA NpUMnPd, relaxed; DFT total energy = -9.822 eV/atom; space group = No. 216; formation energy from the elements = -0.697 eV/f.u.
1.0
-3.3326 -3.1173 0.5718
-0.5234 -2.0874 4.0644
-3.6380 0.9806 2.6370
U Pd Np Mn
1 1 1 1
Cartesian
-5.6205 -3.1681 5.4550 U
-1.8735 -1.0560 1.8183 Pd
0.0000 0.0000 0.0000 Np
-3.7470 -2.1121 3.6367 Mn

=====

(4)
PBE-GGA Li2Te2Os, relaxed; DFT total energy = -3.889 eV/atom; space group = No. 139; formation energy (no corrections) = 36.59 kJ per mole of atoms; offset from the most stable computed form = 383 meV per atom
1.0
-0.7005 -0.7658 -3.3835
-1.2067 -3.1824 0.9702
-7.9484 0.9199 -0.4135
Li Te Os
2 2 1
Cartesian
-4.8013 -0.9100 -2.5018 Li
-5.0543 -2.1183 -0.3250 Li
-7.4648 -1.6488 -1.7831 Te
-2.3908 -1.3795 -1.0437 Te
0.0000 0.0000 0.0000 Os

=====

(5)
PBE-GGA InSn2Ru, relaxed; DFT total energy = -5.020 eV/atom; space group = No. 123; formation energy from the elements = -0.058 eV/f.u.
1.0
3.2244 0.0000 0.0000
0.0000 3.2244 0.0000
0.0000 0.0000 8.5872
Sn In Ru
2 1 1
Cartesian
0.0000 0.0000 6.9313 Sn
0.0000 0.0000 1.6559 Sn
1.6122 1.6122 4.2936 In
1.6122 1.6122 0.0000 Ru

=====

(6)
PBE-GGA LiDy4Ni2, relaxed; DFT total energy = -4.722 eV/atom; space group = No. 1; formation energy from the elements = -1.168 eV/f.u.
1.0
-7.5539 -1.6350 -0.4607
2.2496 -6.9393 0.6393
1.1374 6.5521 5.6808
Dy Li Ni
8 2 4
Cartesian
-5.5141 -0.8751 0.6440 Dy
-0.6147 0.6451 4.2624 Dy
-5.3318 -4.9803 0.5417 Dy
-4.1356 -0.9226 3.8992 Dy
-2.3418 0.6971 1.1200 Dy
-5.9232 1.8631 2.9967 Dy
-1.3022 -2.9481 2.6293 Dy
-1.7224 3.7400 5.1246 Dy
1.3774 -1.4318 3.3609 Li
-0.0568 -1.3208 0.2290 Li
-3.9520 -2.7976 1.8976 Ni
-2.5590 -5.0858 1.1185 Ni
-3.1188 1.7373 3.6143 Ni
0.7574 2.5135 5.8224 Ni

=====

(7)
PBE-GGA NaMg2Pb8, relaxed; DFT total energy = -3.099 eV/atom; space group = No. 12; formation energy from the elements = 0.083 eV/f.u.; offset from the most stable computed form = 55 meV per atom
1.0
-1.4740 5.0828 -0.7106
-0.1663 -1.8559 -7.8557
-7.1496 -2.3771 2.9009
Pb Na Mg
8 1 2
Cartesian
-2.3670 -0.4871 0.5386 Pb
-5.5085 -0.6393 -3.6072 Pb
-3.2814 1.4891 -2.0582 Pb
-8.3369 1.1940 -3.2557 Pb
-6.4228 1.3369 -6.2040 Pb
-6.0699 0.2999 -0.2528 Pb
-2.7200 0.5499 -5.4126 Pb
-0.4530 -0.3442 -2.4097 Pb
-0.7370 2.5414 -0.3553 Na
-2.7704 -2.0502 -3.8445 Mg
-4.5455 -2.1827 -1.1103 Mg

=====

(8)
PBE-GGA PrSm3Sc4, relaxed; DFT total energy = -5.476 eV/atom; space group = No. 31; formation energy from the elements = 0.456 eV/f.u.
1.0
5.9377 0.0000 0.0000
0.0000 7.2700 0.0000
0.0000 0.0000 10.8837
Sc Pr Sm
8 2 6
Cartesian
3.8379 0.7588 5.4419 Sc
5.8326 0.7641 2.7313 Sc
3.8396 0.7606 0.0000 Sc
0.8707 6.5094 5.4419 Sc
0.8690 6.5111 0.0000 Sc
2.8637 6.5059 2.7105 Sc
2.8637 6.5059 8.1732 Sc
5.8326 0.7641 8.1524 Sc
3.7597 4.6542 5.4419 Pr
0.7909 2.6158 0.0000 Pr
0.7788 2.6073 5.4419 Sm
3.7477 4.6627 0.0000 Sm
5.9178 4.6684 2.7163 Sm
5.9178 4.6684 8.1674 Sm
2.9490 2.6016 2.7255 Sm
2.9490 2.6016 8.1582 Sm